Record 1
## PmPbAu4 (PBE)

Data for a geometry-optimized PmPbAu4 structure.

Lattice parameters (Å, degrees): 5.7115 5.7115 5.7115 60.00 60.00 60.00
Last column: nearest neighbours and their distance in Å.
Sites, in units of the cell vectors:
Pm (0.0000, 0.0000, 0.0000)  12 Au 3.35, 4 Pb 3.50
Pb (0.7500, 0.7500, 0.7500)  12 Au 3.35, 4 Pm 3.50
Au (0.3749, 0.3749, 0.3749)  6 Au 2.85-2.86
Au (0.3749, 0.3749, 0.8752)  6 Au 2.85-2.86
Au (0.3749, 0.8752, 0.3749)  6 Au 2.85-2.86
Au (0.8752, 0.3749, 0.3749)  6 Au 2.85-2.86

Energy: -23.956 eV per formula unit
Mass density: 14.369 g/cm3
M_tot: 0.00 μB/cell

Record 2
## Pm7Pb2Au2 (PBE)

Data for a geometry-optimized Pm7Pb2Au2 structure.

Lattice parameters (Å, degrees): 7.2293 7.2293 7.2144 90.00 90.00 106.78
Last column: nearest neighbours and their distance in Å.
Sites, in units of the cell vectors:
Pm (0.0000, 0.0000, 0.0000)  2 Au 3.28
Pm (0.0000, 0.5000, 0.2636)  2 Au 2.90
Pm (0.0000, 0.5000, 0.7364)  2 Au 2.90
Pm (0.5000, 0.0000, 0.2636)  2 Au 2.90
Pm (0.5000, 0.0000, 0.7364)  2 Au 2.90
Pm (0.5000, 0.5000, 0.2422)  2 Au 3.07, 2 Pb 3.33
Pm (0.5000, 0.5000, 0.7578)  2 Au 3.07, 2 Pb 3.33
Pb (0.1803, 0.1803, 0.5000)  1 Pb 3.11, 6 Pm 3.33-3.42
Pb (0.8197, 0.8197, 0.5000)  1 Pb 3.11, 6 Pm 3.33-3.42
Au (0.2829, 0.7171, 0.0000)  6 Pm 2.90-3.07
Au (0.7171, 0.2829, 0.0000)  6 Pm 2.90-3.07

Energy: -50.608 eV per formula unit
Mass density: 8.387 g/cm3
M_tot: 0.00 μB/cell

Record 3
## Pm3PbAu5 (PBE)

Data for a geometry-optimized Pm3PbAu5 structure.

Lattice parameters (Å, degrees): 8.9069 8.9069 6.2979 90.00 90.00 120.00
Last column: nearest neighbours and their distance in Å.
Sites, in units of the cell vectors:
Pm (0.0000, 0.3516, 0.2500)  5 Au 2.92-3.16
Pm (0.0000, 0.6484, 0.7500)  5 Au 2.92-3.16
Pm (0.3516, 0.0000, 0.2500)  5 Au 2.92-3.16
Pm (0.3516, 0.3516, 0.7500)  5 Au 2.92-3.16
Pm (0.6484, 0.0000, 0.7500)  5 Au 2.92-3.16
Pm (0.6484, 0.6484, 0.2500)  5 Au 2.92-3.16
Pb (0.0000, 0.0000, 0.0000)  2 Pb 3.15, 6 Au 3.26, 6 Pm 3.51
Pb (0.0000, 0.0000, 0.5000)  2 Pb 3.15, 6 Au 3.26, 6 Pm 3.51
Au (0.0000, 0.3208, 0.7500)  5 Pm 2.92-3.16, 2 Pb 3.26
Au (0.0000, 0.6792, 0.2500)  5 Pm 2.92-3.16, 2 Pb 3.26
Au (0.3208, 0.0000, 0.7500)  5 Pm 2.92-3.16, 2 Pb 3.26
Au (0.3208, 0.3208, 0.2500)  5 Pm 2.92-3.16, 2 Pb 3.26
Au (0.3333, 0.6667, 0.0000)  8 Au 3.15-3.41, 6 Pm 3.29
Au (0.3333, 0.6667, 0.5000)  8 Au 3.15-3.41, 6 Pm 3.29
Au (0.6667, 0.3333, 0.0000)  8 Au 3.15-3.41, 6 Pm 3.29
Au (0.6667, 0.3333, 0.5000)  8 Au 3.15-3.41, 6 Pm 3.29
Au (0.6792, 0.0000, 0.2500)  5 Pm 2.92-3.16, 2 Pb 3.26
Au (0.6792, 0.6792, 0.7500)  5 Pm 2.92-3.16, 2 Pb 3.26

Energy: -40.742 eV per formula unit
Mass density: 12.488 g/cm3
M_tot: 0.00 μB/cell

Record 4
## Pm5Pb5Au2 (PBE)

Data for a geometry-optimized Pm5Pb5Au2 structure.

Lattice parameters (Å, degrees): 8.7249 8.7249 11.3888 127.07 127.07 30.95
Last column: nearest neighbours and their distance in Å.
Sites, in units of the cell vectors:
Pm (0.0000, 0.0000, 0.0000)  4 Au 3.12, 4 Pb 3.43
Pm (0.1075, 0.1075, 0.4069)  7 Pb 3.23-3.51, 2 Au 3.34
Pm (0.1935, 0.1935, 0.8214)  5 Pb 3.25-3.32, 1 Au 3.25
Pm (0.8065, 0.8065, 0.1786)  5 Pb 3.25-3.32, 1 Au 3.25
Pm (0.8925, 0.8925, 0.5931)  7 Pb 3.23-3.51, 2 Au 3.34
Pb (0.2629, 0.2629, 0.3308)  2 Au 2.89, 1 Pb 3.16, 1 Pm 3.23
Pb (0.4286, 0.4286, 0.1389)  1 Au 2.94
Pb (0.5000, 0.5000, 0.5000)  4 Pb 3.16-3.49, 4 Pm 3.49
Pb (0.5714, 0.5714, 0.8611)  1 Au 2.94
Pb (0.7371, 0.7371, 0.6692)  2 Au 2.89, 1 Pb 3.16, 1 Pm 3.23
Au (0.3670, 0.3670, 0.7774)  3 Pb 2.89-2.94, 2 Pm 3.12
Au (0.6330, 0.6330, 0.2226)  3 Pb 2.89-2.94, 2 Pm 3.12

Energy: -55.538 eV per formula unit
Mass density: 10.286 g/cm3
M_tot: 0.00 μB/cell

Record 5
## Pm2Pb2Au (PBE)

Data for a geometry-optimized Pm2Pb2Au structure.

Lattice parameters (Å, degrees): 6.2799 6.2799 11.5990 113.85 113.85 43.22
Last column: nearest neighbours and their distance in Å.
Sites, in units of the cell vectors:
Pm (0.0086, 0.0086, 0.1795)  3 Au 3.25-3.47, 6 Pb 3.26-3.57
Pm (0.1785, 0.1785, 0.6164)  2 Au 3.15, 6 Pb 3.19-3.52
Pm (0.8215, 0.8215, 0.3836)  2 Au 3.15, 6 Pb 3.19-3.52
Pm (0.9914, 0.9914, 0.8205)  3 Au 3.25-3.47, 6 Pb 3.26-3.57
Pb (0.3478, 0.3478, 0.9520)  3 Au 2.89-3.09, 1 Pb 3.23
Pb (0.4478, 0.4478, 0.6076)  1 Au 2.94, 3 Pm 3.19-3.26, 1 Pb 3.22
Pb (0.5522, 0.5522, 0.3924)  1 Au 2.94, 3 Pm 3.19-3.26, 1 Pb 3.22
Pb (0.6522, 0.6522, 0.0480)  3 Au 2.89-3.09, 1 Pb 3.23
Au (0.2911, 0.2911, 0.1885)  4 Pb 2.89-3.09, 2 Pm 3.15
Au (0.7089, 0.7089, 0.8115)  4 Pb 2.89-3.09, 2 Pm 3.15

Energy: -23.017 eV per formula unit
Mass density: 10.613 g/cm3
M_tot: 0.00 μB/cell

Record 6
## Pm12Pb6Au (PBE)

Data for a geometry-optimized Pm12Pb6Au structure.

Lattice parameters (Å, degrees): 8.9781 8.9781 8.9781 99.61 99.61 99.61
Last column: nearest neighbours and their distance in Å.
Sites, in units of the cell vectors:
Pm (0.0248, 0.6776, 0.9447)  1 Au 2.91, 1 Pb 3.20
Pm (0.0553, 0.9752, 0.3224)  1 Au 2.91, 1 Pb 3.20
Pm (0.1966, 0.4211, 0.5589)  4 Pb 3.19-3.35
Pm (0.3224, 0.0553, 0.9752)  1 Au 2.91, 1 Pb 3.20
Pm (0.4211, 0.5589, 0.1966)  4 Pb 3.19-3.35
Pm (0.4411, 0.8034, 0.5789)  4 Pb 3.19-3.35
Pm (0.5589, 0.1966, 0.4211)  4 Pb 3.19-3.35
Pm (0.5789, 0.4411, 0.8034)  4 Pb 3.19-3.35
Pm (0.6776, 0.9447, 0.0248)  1 Au 2.91, 1 Pb 3.20
Pm (0.8034, 0.5789, 0.4411)  4 Pb 3.19-3.35
Pm (0.9447, 0.0248, 0.6776)  1 Au 2.91, 1 Pb 3.20
Pm (0.9752, 0.3224, 0.0553)  1 Au 2.91, 1 Pb 3.20
Pb (0.1213, 0.6354, 0.3152)  7 Pm 3.19-3.40
Pb (0.3152, 0.1213, 0.6354)  7 Pm 3.19-3.40
Pb (0.3646, 0.6848, 0.8787)  7 Pm 3.19-3.40
Pb (0.6354, 0.3152, 0.1213)  7 Pm 3.19-3.40
Pb (0.6848, 0.8787, 0.3646)  7 Pm 3.19-3.40
Pb (0.8787, 0.3646, 0.6848)  7 Pm 3.19-3.40
Au (0.0000, 0.0000, 0.0000)  6 Pm 2.91

Energy: -87.797 eV per formula unit
Mass density: 7.662 g/cm3
M_tot: 0.00 μB/cell

Record 7
## Pm4PbAu5 (PBE)

Data for a geometry-optimized Pm4PbAu5 structure.

Lattice parameters (Å, degrees): 3.7353 3.7353 17.9487 90.00 90.00 90.00
Last column: nearest neighbours and their distance in Å.
Sites, in units of the cell vectors:
Pm (0.0000, 0.0000, 0.1031)  8 Au 3.18-3.23
Pm (0.0000, 0.0000, 0.3078)  8 Au 3.05-3.26
Pm (0.0000, 0.0000, 0.6922)  8 Au 3.05-3.26
Pm (0.0000, 0.0000, 0.8969)  8 Au 3.18-3.23
Pb (0.0000, 0.0000, 0.5000)  8 Au 3.26, 2 Pm 3.45
Au (0.5000, 0.5000, 0.0000)  8 Pm 3.23
Au (0.5000, 0.5000, 0.2013)  8 Pm 3.18-3.26, 1 Au 3.44
Au (0.5000, 0.5000, 0.3932)  4 Pm 3.05, 4 Pb 3.26
Au (0.5000, 0.5000, 0.6068)  4 Pm 3.05, 4 Pb 3.26
Au (0.5000, 0.5000, 0.7987)  8 Pm 3.18-3.26, 1 Au 3.44

Energy: -46.014 eV per formula unit
Mass density: 11.750 g/cm3
M_tot: 0.00 μB/cell

Record 8
## PmPbAu (PBE)

Data for a geometry-optimized PmPbAu structure.

Lattice parameters (Å, degrees): 5.2259 5.2259 6.5721 90.00 90.00 120.00
Last column: nearest neighbours and their distance in Å.
Sites, in units of the cell vectors:
Pm (0.3333, 0.6667, 0.2500)  5 Au 3.02-3.29
Pm (0.6667, 0.3333, 0.7500)  5 Au 3.02-3.29
Pb (0.0000, 0.0000, 0.0000)  2 Pb 3.29, 6 Au 3.44, 6 Pm 3.44
Pb (0.0000, 0.0000, 0.5000)  2 Pb 3.29, 6 Pm 3.44, 6 Au 3.44
Au (0.3333, 0.6667, 0.7500)  5 Pm 3.02-3.29
Au (0.6667, 0.3333, 0.2500)  5 Pm 3.02-3.29

Energy: -13.641 eV per formula unit
Mass density: 11.734 g/cm3
M_tot: 0.00 μB/cell

Record 9
## Pm3PbAu2 (PBE)

Data for a geometry-optimized Pm3PbAu2 structure.

Lattice parameters (Å, degrees): 3.6190 3.6190 12.2442 90.00 90.00 90.00
Last column: nearest neighbours and their distance in Å.
Sites, in units of the cell vectors:
Pm (0.0000, 0.0000, 0.0000)  8 Au 3.17
Pm (0.0000, 0.0000, 0.3096)  4 Au 3.20, 4 Pb 3.46
Pm (0.0000, 0.0000, 0.6904)  4 Au 3.20, 4 Pb 3.46
Pb (0.5000, 0.5000, 0.5000)  8 Pm 3.46, 4 Pb 3.62
Au (0.5000, 0.5000, 0.1528)  8 Pm 3.17-3.20
Au (0.5000, 0.5000, 0.8472)  8 Pm 3.17-3.20

Energy: -28.633 eV per formula unit
Mass density: 10.729 g/cm3
M_tot: 0.00 μB/cell

Record 10
## PmPbAu (PBE)

Data for a geometry-optimized PmPbAu structure.

Lattice parameters (Å, degrees): 6.5104 6.5104 6.5104 147.33 147.33 46.88
Last column: nearest neighbours and their distance in Å.
Sites, in units of the cell vectors:
Pm (0.0000, 0.0000, 0.0000)  4 Au 3.05
Pb (0.2973, 0.2973, 0.0000)  4 Au 3.23, 5 Pm 3.55
Au (0.6352, 0.6352, 0.0000)  4 Pm 3.05, 4 Pb 3.23

Energy: -13.239 eV per formula unit
Mass density: 11.381 g/cm3
M_tot: 0.00 μB/cell